A plane-wave DFT calculation with PBE was carried out for a relaxed BaMo2W crystal.

Cell: 9.692 3.299 6.404 Å, 90.00 104.18 90.00°
Element x y z (fractional)
Ba  0.000  0.000  0.000
Ba  0.500  0.500  0.000
Mo  0.000  0.500  0.498
Mo  0.212  0.000  0.622
Mo  0.500  0.000  0.498
Mo  0.712  0.500  0.622
W  0.289  0.500  0.378
W  0.789  0.000  0.378

E_form (meV/atom): 942
Total magnetization (μB per formula unit): 0.00
Final energy (eV/atom): -8.192

=====

A plane-wave DFT calculation with PBE was carried out for a relaxed BaMo4W crystal.

Cell: 5.450 5.450 5.450 Å, 60.00 60.00 60.00°
Element x y z (fractional)
Ba  0.000  0.000  0.000
Mo  0.127  0.624  0.624
Mo  0.624  0.127  0.624
Mo  0.624  0.624  0.127
Mo  0.624  0.624  0.624
W  0.250  0.250  0.250

E_form (meV/atom): 982
Total magnetization (μB per formula unit): 0.00
Final energy (eV/atom): -8.718

=====

A plane-wave DFT calculation with PBE was carried out for a relaxed BaMo2W crystal.

Cell: 3.226 4.680 5.130 Å, 90.00 90.00 90.00°
Element x y z (fractional)
Ba  0.000  0.000  0.000
Mo  0.000  0.500  0.500
Mo  0.500  0.500  0.000
W  0.500  0.000  0.500

E_form (meV/atom): 1482
Total magnetization (μB per formula unit): 0.00
Final energy (eV/atom): -7.653

=====

A plane-wave DFT calculation with PBE was carried out for a relaxed BaMoW crystal.

Cell: 3.372 3.372 13.162 Å, 90.00 90.00 90.00°
Element x y z (fractional)
Ba  0.000  0.000  0.000
Ba  0.500  0.500  0.500
Mo  0.000  0.000  0.712
Mo  0.500  0.500  0.212
W  0.000  0.000  0.289
W  0.500  0.500  0.789

E_form (meV/atom): 862
Total magnetization (μB per formula unit): 0.00
Final energy (eV/atom): -7.707